Computed, not measured: a geometry-optimized Al2SiGe structure at the PBE level of DFT.

Cell: 4.0509 4.0509 15.7018 Å, 90.00 90.00 120.00°
Closest atoms and distances in Å follow each position.
Positions (direct):
Al 0.0000 0.0000 0.0000  3 Si 2.63, 3 Ge 2.74, 1 Al 2.82
Al 0.0000 0.0000 0.1797  3 Si 2.63, 3 Ge 2.72, 1 Al 2.82
Al 0.3333 0.6667 0.6667  3 Si 2.63, 3 Ge 2.74, 1 Al 2.82
Al 0.3333 0.6667 0.8464  3 Si 2.63, 3 Ge 2.72, 1 Al 2.82
Al 0.6667 0.3333 0.3333  3 Si 2.63, 3 Ge 2.74, 1 Al 2.82
Al 0.6667 0.3333 0.5130  3 Si 2.63, 3 Ge 2.72, 1 Al 2.82
Si 0.0000 0.0000 0.5902  1 Ge 2.60, 6 Al 2.63
Si 0.3333 0.6667 0.2568  1 Ge 2.60, 6 Al 2.63
Si 0.6667 0.3333 0.9235  1 Ge 2.60, 6 Al 2.63
Ge 0.0000 0.0000 0.4247  1 Si 2.60, 6 Al 2.72-2.74
Ge 0.3333 0.6667 0.0914  1 Si 2.60, 6 Al 2.72-2.74
Ge 0.6667 0.3333 0.7580  1 Si 2.60, 6 Al 2.72-2.74

DOS at the Fermi energy = 0.34 states/eV/atom
Space group = R3m (160)
Crystal system = trigonal
Formation energy from raw total energies = 0.146 eV/atom
Distance to the lowest polymorph of the same formula = 0 kJ/mol of formula units


Computed, not measured: a geometry-optimized P7Rh6 structure at the PBE level of DFT.

Cell: 9.7562 9.7562 9.7562 Å, 29.00 29.00 29.00°
Closest atoms and distances in Å follow each position.
Positions (direct):
P 0.0000 0.0000 0.0000  6 P 2.78, 6 Rh 2.88
P 0.0711 0.0711 0.5970  4 P 2.32-2.57, 4 Rh 2.33-2.57
P 0.0711 0.5970 0.0711  4 P 2.32-2.57, 4 Rh 2.33-2.57
P 0.4030 0.9289 0.9289  4 P 2.32-2.57, 4 Rh 2.33-2.57
P 0.5970 0.0711 0.0711  4 P 2.32-2.57, 4 Rh 2.33-2.57
P 0.9289 0.4030 0.9289  4 P 2.32-2.57, 4 Rh 2.33-2.57
P 0.9289 0.9289 0.4030  4 P 2.32-2.57, 4 Rh 2.33-2.57
Rh 0.1823 0.1823 0.1823  3 P 2.33
Rh 0.3122 0.3122 0.3122  3 P 2.37
Rh 0.4485 0.4485 0.4485  6 P 2.57
Rh 0.5515 0.5515 0.5515  6 P 2.57
Rh 0.6878 0.6878 0.6878  3 P 2.37
Rh 0.8177 0.8177 0.8177  3 P 2.33

DOS at the Fermi energy = 0.63 states/eV/atom
Space group = R-3m (166)
Crystal system = trigonal
Energy relative to the elements = 0.106 eV/atom


| no. | theoretical density (g/cm3) |
| --- | --- |
| 1 | 3.5 |
| 2 | 7.2 |